# 1
LiPr3C GGA-PBE optimized geometry; M_tot = 0.000 μB per formula unit; energy relative to the elements = 10.1 kJ per mole of atoms; space-group type = Pm-3m (221); V = 142 Å³ per cell
1.0
-1.9486 -0.4549 4.8209
2.1902 -4.7175 0.4401
4.3187 2.1871 1.9520
Pr C Li
3 1 1
direct
0.0000 0.5000 0.0000
0.0000 0.0000 0.5000
0.5000 0.0000 0.0000
0.0000 0.0000 0.0000
0.5000 0.5000 0.5000


# 2
La15AlCd4 GGA-PBE optimized geometry; M_tot = 0.000 μB per formula unit; energy relative to the elements = -13.8 kJ per mole of atoms; space-group type = P4/mmm (123); V = 644 Å³ per cell
1.0
5.0540 0.0000 0.0000
0.0000 5.0540 0.0000
0.0000 0.0000 25.2199
La Cd Al
15 4 1
direct
0.5000 0.0000 0.0958
0.5000 0.0000 0.7015
0.5000 0.5000 0.1977
0.5000 0.0000 0.2985
0.0000 0.5000 0.2985
0.0000 0.5000 0.0958
0.0000 0.5000 0.5000
0.0000 0.5000 0.9042
0.5000 0.5000 0.6009
0.5000 0.5000 0.0000
0.5000 0.5000 0.8023
0.5000 0.5000 0.3991
0.5000 0.0000 0.9042
0.5000 0.0000 0.5000
0.0000 0.5000 0.7015
0.0000 0.0000 0.8017
0.0000 0.0000 0.6007
0.0000 0.0000 0.1983
0.0000 0.0000 0.3993
0.0000 0.0000 0.0000


# 3
NaTl7In12 GGA-PBE optimized geometry; M_tot = 0.000 μB per formula unit; energy relative to the elements = 3.9 kJ per mole of atoms; space-group type = R-3 (148); V = 582 Å³ per cell
1.0
9.7415 0.0000 3.4132
-4.5807 6.9848 2.6681
0.5802 0.0000 8.7494
In Tl Na
12 7 1
direct
0.5536 0.2484 0.2240
0.3053 0.5276 0.2484
0.3782 0.0816 0.7030
0.6947 0.4724 0.7516
0.0812 0.7030 0.2154
0.7033 0.7846 0.9184
0.4464 0.7516 0.7760
0.7776 0.2240 0.5276
0.6218 0.9184 0.2970
0.9188 0.2970 0.7846
0.2224 0.7760 0.4724
0.2967 0.2154 0.0816
0.0335 0.3496 0.0999
0.8666 0.9001 0.4494
0.9665 0.6504 0.9001
0.5000 0.0000 0.0000
0.6840 0.5506 0.3496
0.1334 0.0999 0.5506
0.3160 0.4494 0.6504
0.0000 0.0000 0.0000


# 4
CaY3 GGA-PBE optimized geometry; M_tot = 0.666 μB per formula unit; energy relative to the elements = 4.5 kJ per mole of atoms; space-group type = P-6m2 (187); V = 138 Å³ per cell
1.0
3.6642 0.0000 0.0000
-1.8321 3.1733 0.0000
0.0000 0.0000 11.8648
Y Ca
3 1
direct
0.0000 0.0000 0.5000
0.6667 0.3333 0.2637
0.6667 0.3333 0.7363
0.0000 0.0000 0.0000


- The lowest energy relative to the elements belongs to which entry?
  La15AlCd4